No. 1
DFT (GGA-PBE) results for an optimized crystal structure of Pm3SmMg.

Unit cell a=13.1586 b=3.7723 c=13.0694 alpha=90.00 beta=92.83 gamma=90.00
With the nearest neighbours (Å) after each atom.
Space group C2/m (No. 12)
One atom of each set of equivalent atoms:
Pm: 0.0397 0.0000 0.1886 [4 per cell]  2 Mg 3.37, 7 Pm 3.55-3.77, 3 Sm 3.63-3.64
Pm: 0.1345 0.5000 0.9728 [4 per cell]  9 Pm 3.58-3.77, 3 Sm 3.68-3.91
Pm: 0.1488 0.0000 0.4425 [4 per cell]  4 Mg 3.33-3.38, 3 Pm 3.54-3.55, 2 Sm 3.64
Sm: 0.2287 0.0000 0.7550 [4 per cell]  2 Mg 3.34, 7 Pm 3.63-3.68
Mg: 0.0566 0.5000 0.6259 [4 per cell]  6 Pm 3.33-3.38, 2 Sm 3.34, 1 Mg 3.55

Polymorph energy (0 for the lowest one) = 0.000 eV per atom
ΔH_f (0 K) = -0.02 eV/atom

No. 2
DFT (GGA-PBE) results for an optimized crystal structure of PmSm2Mg.

Unit cell a=7.9423 b=7.9423 c=7.9423 alpha=90.00 beta=90.00 gamma=90.00
With the nearest neighbours (Å) after each atom.
Space group Fm-3m (No. 225)
One atom of each set of equivalent atoms:
Pm: 0.0000 0.0000 0.0000 [4 per cell]  8 Sm 3.44
Sm: 0.2500 0.2500 0.2500 [8 per cell]  4 Mg 3.44, 4 Pm 3.44
Mg: 0.0000 0.0000 0.5000 [4 per cell]  8 Sm 3.44

Polymorph energy (0 for the lowest one) = 0.095 eV per atom
ΔH_f (0 K) = 0.06 eV/atom